Record 1
Material: PmIrRh2
Method: DFT, GGA-PBE
State: optimized geometry

abc: 4.1349 4.1349 4.0471
angles: 90.00 90.00 90.00
Closest atoms and distances in Å follow each position.
Space group P4/mmm (No. 123)
Symmetry-distinct sites (fractional):
1 Pm 0.0000 0.0000 0.0000 (multiplicity 1)  8 Rh 2.89, 4 Ir 2.92
2 Ir 0.5000 0.5000 0.0000 (multiplicity 1)  8 Rh 2.89, 4 Pm 2.92
3 Rh 0.0000 0.5000 0.5000 (multiplicity 2)  4 Pm 2.89, 4 Ir 2.89, 4 Rh 2.92

Summary:
Formation energy from the elements, eV per formula unit: -1.30
Total magnetization, μB per formula unit: 0.00

Record 2
Material: Mg7InPb2
Method: DFT, GGA-PBE
State: optimized geometry

abc: 10.6224 10.6224 10.6224
angles: 90.00 90.00 90.00
Closest atoms and distances in Å follow each position.
Space group Fm-3m (No. 225)
Symmetry-distinct sites (fractional):
1 Mg 0.0000 0.0000 0.0000 (multiplicity 4)  6 Mg 2.64
2 Mg 0.0000 0.0000 0.2490 (multiplicity 24)  1 Mg 2.64, 1 In 2.67
3 In 0.0000 0.0000 0.5000 (multiplicity 4)  6 Mg 2.67
4 Pb 0.2500 0.2500 0.2500 (multiplicity 8)  12 Mg 3.76

Summary:
Formation energy from the elements, eV per formula unit: 3.97
Total magnetization, μB per formula unit: 0.00

Record 3
Material: TbDyGePd
Method: DFT, GGA-PBE
State: optimized geometry

abc: 7.1039 7.1039 7.1039
angles: 90.00 90.00 90.00
Closest atoms and distances in Å follow each position.
Space group F-43m (No. 216)
Symmetry-distinct sites (fractional):
1 Tb 0.0000 0.0000 0.0000 (multiplicity 4)  4 Ge 3.08, 4 Pd 3.08
2 Dy 0.0000 0.0000 0.5000 (multiplicity 4)  4 Ge 3.08, 4 Pd 3.08
3 Ge 0.2500 0.2500 0.7500 (multiplicity 4)  4 Tb 3.08, 4 Dy 3.08
4 Pd 0.2500 0.2500 0.2500 (multiplicity 4)  4 Tb 3.08, 4 Dy 3.08

Summary:
Formation energy from the elements, eV per formula unit: -3.22
Total magnetization, μB per formula unit: 0.00

Record 4
Material: LiAs2W
Method: DFT, GGA-PBE
State: optimized geometry

abc: 6.3357 6.3357 6.3357
angles: 90.00 90.00 90.00
Closest atoms and distances in Å follow each position.
Space group Fm-3m (No. 225)
Symmetry-distinct sites (fractional):
1 Li 0.0000 0.0000 0.0000 (multiplicity 4)  8 As 2.74
2 As 0.2500 0.2500 0.2500 (multiplicity 8)  4 W 2.74, 4 Li 2.74
3 W 0.0000 0.0000 0.5000 (multiplicity 4)  8 As 2.74

Summary:
Formation energy from the elements, eV per formula unit: 0.38
Total magnetization, μB per formula unit: 1.27

Record 5
Material: Dy3Y2Er9
Method: DFT, GGA-PBE
State: optimized geometry

abc: 6.1890 8.6529 8.7323
angles: 80.12 75.60 87.66
Closest atoms and distances in Å follow each position.
Space group P1 (No. 1)
Symmetry-distinct sites (fractional):
1 Dy 0.0000 0.0000 0.0000 (multiplicity 1)  6 Er 3.28-3.63, 2 Y 3.40-3.52
2 Dy 0.1664 0.3293 0.1944 (multiplicity 1)  1 Y 3.35, 10 Er 3.35-3.69
3 Dy 0.6926 0.5796 0.6420 (multiplicity 1)  11 Er 3.34-3.67, 1 Y 3.60
4 Y 0.3390 0.9206 0.6339 (multiplicity 1)  8 Er 3.37-3.63, 1 Y 3.39, 2 Dy 3.52-3.60
5 Y 0.4675 0.0000 0.2273 (multiplicity 1)  7 Er 3.34-3.65, 2 Dy 3.35-3.40, 1 Y 3.39
6 Er 0.0253 0.2662 0.6348 (multiplicity 1)  3 Dy 3.34-3.67, 8 Er 3.47-3.68, 1 Y 3.50
7 Er 0.1355 0.5660 0.8294 (multiplicity 1)  4 Er 3.14-3.51, 1 Y 3.37, 1 Dy 3.43
8 Er 0.2778 0.6260 0.4143 (multiplicity 1)  7 Er 3.40-3.58, 2 Y 3.47-3.53, 3 Dy 3.59-3.67
9 Er 0.4561 0.2055 0.8273 (multiplicity 1)  4 Er 3.15-3.52, 1 Dy 3.28, 1 Y 3.41
10 Er 0.4656 0.7304 0.9959 (multiplicity 1)  4 Er 3.28-3.53, 2 Y 3.34-3.56, 2 Dy 3.51-3.63
11 Er 0.5924 0.2941 0.4253 (multiplicity 1)  7 Er 3.32-3.58, 3 Dy 3.52-3.67, 2 Y 3.52-3.63
12 Er 0.7228 0.3588 0.0271 (multiplicity 1)  4 Er 3.14-3.50, 3 Dy 3.39-3.50
13 Er 0.8499 0.6515 0.2229 (multiplicity 1)  3 Dy 3.33-3.50, 7 Er 3.44-3.64
14 Er 0.9086 0.9560 0.4261 (multiplicity 1)  4 Er 3.45-3.68, 4 Y 3.47-3.56, 3 Dy 3.58-3.69

Summary:
Formation energy from the elements, eV per formula unit: 1.60
Total magnetization, μB per formula unit: 0.00

Record 6
Material: BaErTe3Au
Method: DFT, GGA-PBE
State: optimized geometry

abc: 9.0873 4.4782 10.2226
angles: 90.00 105.43 90.00
Closest atoms and distances in Å follow each position.
Space group P2_1/m (No. 11)
Symmetry-distinct sites (fractional):
1 Ba 0.2017 0.2500 0.2599 (multiplicity 2)  7 Te 3.51-3.84, 1 Au 3.81
2 Er 0.3195 0.7500 0.8382 (multiplicity 2)  6 Te 3.02-3.11
3 Te 0.0988 0.2500 0.8704 (multiplicity 2)  1 Au 2.82, 2 Er 3.08
4 Te 0.2554 0.7500 0.5327 (multiplicity 2)  3 Au 2.87-3.02, 1 Er 3.02
5 Te 0.4436 0.7500 0.1522 (multiplicity 2)  3 Er 3.09-3.11
6 Au 0.0853 0.2500 0.5912 (multiplicity 2)  4 Te 2.82-3.02, 2 Au 3.06

Summary:
Energy relative to the elements, uncorrected, meV/atom: -1213
Total magnetization, μB per formula unit: 0.00

Record 7
Material: Tb7Sm4Sc
Method: DFT, GGA-PBE
State: optimized geometry

abc: 6.4706 6.7799 9.1343
angles: 85.63 76.99 82.51
Closest atoms and distances in Å follow each position.
Space group P-1 (No. 2)
Symmetry-distinct sites (fractional):
1 Tb 0.0000 0.0000 0.0000 (multiplicity 1)  4 Sm 3.37-3.63, 2 Sc 3.39, 4 Tb 3.56-3.75
2 Tb 0.1880 0.6082 0.3817 (multiplicity 2)  5 Tb 3.29-3.66, 4 Sm 3.35-3.58
3 Tb 0.3217 0.1906 0.6348 (multiplicity 2)  5 Tb 3.42-3.75, 5 Sm 3.47-3.83
4 Tb 0.4979 0.7440 0.0496 (multiplicity 2)  5 Tb 3.37-3.56, 1 Sc 3.40, 4 Sm 3.42-3.71
5 Sm 0.1631 0.1192 0.3045 (multiplicity 2)  7 Tb 3.37-3.71, 2 Sm 3.46-3.55
6 Sm 0.3487 0.6818 0.7218 (multiplicity 2)  1 Sc 3.28, 8 Tb 3.35-3.63, 2 Sm 3.46-3.55
7 Sc 0.0000 0.5000 0.0000 (multiplicity 1)  2 Sm 3.28, 4 Tb 3.39-3.40

Summary:
Formation energy from the elements, eV per formula unit: 1.20
Total magnetization, μB per formula unit: 0.00

Record 8
Material: Mn2Ni3Pt4
Method: DFT, GGA-PBE
State: optimized geometry

abc: 8.3395 3.8545 8.0144
angles: 90.00 106.81 90.00
Closest atoms and distances in Å follow each position.
Space group C2/m (No. 12)
Symmetry-distinct sites (fractional):
1 Mn 0.1706 0.0000 0.2258 (multiplicity 4)  5 Ni 2.60-2.74, 7 Pt 2.65-2.70
2 Ni 0.0000 0.5000 0.0000 (multiplicity 2)  8 Pt 2.67-2.68, 4 Mn 2.74
3 Ni 0.1621 0.0000 0.5470 (multiplicity 4)  3 Ni 2.59-2.66, 3 Mn 2.60-2.74, 6 Pt 2.63-2.73
4 Pt 0.0087 0.5000 0.3362 (multiplicity 4)  6 Ni 2.63-2.72, 3 Mn 2.65-2.70, 3 Pt 2.67-2.75
5 Pt 0.1650 0.0000 0.8882 (multiplicity 4)  4 Ni 2.67-2.73, 4 Mn 2.67-2.69, 4 Pt 2.73-2.75

Summary:
Formation energy from the elements, eV per formula unit: -2.07
Total magnetization, μB per formula unit: 8.76

Record 9
Material: Rb2LiSCl6
Method: DFT, GGA-PBE
State: optimized geometry

abc: 7.4956 7.4956 9.0939
angles: 90.00 90.00 90.00
Closest atoms and distances in Å follow each position.
Space group I4/mmm (No. 139)
Symmetry-distinct sites (fractional):
1 Rb 0.0000 0.5000 0.2500 (multiplicity 4)  12 Cl 3.49-3.75
2 Li 0.0000 0.0000 0.0000 (multiplicity 2)  2 Cl 2.32
3 S 0.0000 0.0000 0.5000 (multiplicity 2)  2 Cl 2.22
4 Cl 0.0000 0.0000 0.2554 (multiplicity 4)  1 S 2.22, 1 Li 2.32
5 Cl 0.2482 0.2482 0.5000 (multiplicity 8)  1 S 2.63, 1 Li 2.67

Summary:
Energy relative to the elements, uncorrected, meV/atom: -1045
Total magnetization, μB per formula unit: 1.00

Record 10
Material: Ho3ZnSCl
Method: DFT, GGA-PBE
State: optimized geometry

abc: 7.5230 3.8272 10.4708
angles: 90.00 107.81 90.00
Closest atoms and distances in Å follow each position.
Space group P2_1/m (No. 11)
Symmetry-distinct sites (fractional):
1 Ho 0.1702 0.2500 0.1389 (multiplicity 2)  2 S 2.70
2 Ho 0.2019 0.2500 0.4914 (multiplicity 2)  3 Cl 2.81-3.03, 3 Zn 2.97-3.08
3 Ho 0.3177 0.7500 0.8368 (multiplicity 2)  3 S 2.69-2.75, 1 Cl 2.85, 2 Zn 2.96
4 Zn 0.0130 0.2500 0.7146 (multiplicity 2)  7 Ho 2.96-3.08
5 S 0.4057 0.7500 0.1062 (multiplicity 2)  5 Ho 2.69-2.75
6 Cl 0.4711 0.7500 0.6198 (multiplicity 2)  5 Ho 2.81-3.08

Summary:
Energy relative to the elements, uncorrected, meV/atom: -1170
Total magnetization, μB per formula unit: 0.00

Record 11
Material: Ce2SmGeN5
Method: DFT, GGA-PBE
State: optimized geometry

abc: 3.3447 16.5889 9.4927
angles: 90.00 90.00 90.00
Closest atoms and distances in Å follow each position.
Space group Cmc2_1 (No. 36)
Symmetry-distinct sites (fractional):
1 Ce 0.0000 0.0983 0.0000 (multiplicity 4)  5 N 2.32-2.59
2 Ce 0.0000 0.1069 0.6199 (multiplicity 4)  4 N 2.33-2.39
3 Sm 0.0000 0.2195 0.3273 (multiplicity 4)  5 N 2.38-2.49
4 Ge 0.0000 0.4470 0.7787 (multiplicity 4)  4 N 1.88-1.93
5 N 0.0000 0.0357 0.3745 (multiplicity 4)  2 Ge 1.93
6 N 0.0000 0.3182 0.0100 (multiplicity 4)  2 Ce 2.33, 2 Sm 2.49
7 N 0.0000 0.3455 0.6839 (multiplicity 4)  1 Ge 1.91
8 N 0.0000 0.3626 0.3453 (multiplicity 4)  2 Ce 2.32, 1 Sm 2.38
9 N 0.0000 0.4956 0.1081 (multiplicity 4)  1 Ge 1.88

Summary:
Energy relative to the elements, uncorrected, meV/atom: -950
Total magnetization, μB per formula unit: 0.00

Record 12
Material: EuBi2Pd
Method: DFT, GGA-PBE
State: optimized geometry

abc: 3.6644 3.6644 31.4107
angles: 90.00 90.00 120.00
Closest atoms and distances in Å follow each position.
Space group R-3m (No. 166, hexagonal axes)
Symmetry-distinct sites (fractional):
1 Eu 0.0000 0.0000 0.0000 (multiplicity 3)  2 Bi 3.32, 6 Eu 3.66
2 Bi 0.0000 0.0000 0.1056 (multiplicity 6)  3 Pd 2.86
3 Pd 0.0000 0.0000 0.5000 (multiplicity 3)  6 Bi 2.86

Summary:
Formation energy from the elements, eV per formula unit: -0.51
Total magnetization, μB per formula unit: 7.34

- Look up the total magnetization of the tenth one.
  0.00 μB per formula unit

Please write out number 2 again, unchanged.
Material: Mg7InPb2
Method: DFT, GGA-PBE
State: optimized geometry

abc: 10.6224 10.6224 10.6224
angles: 90.00 90.00 90.00
Closest atoms and distances in Å follow each position.
Space group Fm-3m (No. 225)
Symmetry-distinct sites (fractional):
1 Mg 0.0000 0.0000 0.0000 (multiplicity 4)  6 Mg 2.64
2 Mg 0.0000 0.0000 0.2490 (multiplicity 24)  1 Mg 2.64, 1 In 2.67
3 In 0.0000 0.0000 0.5000 (multiplicity 4)  6 Mg 2.67
4 Pb 0.2500 0.2500 0.2500 (multiplicity 8)  12 Mg 3.76

Summary:
Formation energy from the elements, eV per formula unit: 3.97
Total magnetization, μB per formula unit: 0.00